[1]
Density functional theory data (PBE) for an optimized crystal structure of SrBeTc.

extended XYZ file:
```
3
Lattice="0.0000 3.4221 3.4221 3.4221 0.0000 3.4221 3.4221 3.4221 0.0000" Properties=species:S:1:pos:R:3 pbc="T T T"
Sr 0.0000 0.0000 0.0000
Be 5.1332 5.1332 5.1332
Tc 1.7111 1.7111 1.7111
```

Calculated values
Formation energy: 1.9490 eV per atom
Symmetry: F-43m
Density of states at the Fermi level: 1.34 states/eV/cell
Energy above the lowest structure with this stoichiometry: 1513 meV per atom

=====

[2]
Density functional theory data (PBE) for an optimized crystal structure of Sr2BeTc.

extended XYZ file:
```
8
Lattice="-2.1959 2.1959 10.2380 2.1959 -2.1959 10.2380 2.1959 2.1959 -10.2380" Properties=species:S:1:pos:R:3 pbc="T T T"
Sr 3.2938 1.0940 -2.5595
Sr 1.0940 1.0979 2.5595
Sr -1.0979 1.1019 7.6785
Sr 1.1019 1.0979 12.7976
Be 0.0000 0.0000 0.0000
Be 0.0000 2.1959 5.1190
Tc 2.1959 0.0000 5.1190
Tc 0.0000 0.0000 10.2380
```

Calculated values
Formation energy: 1.3688 eV per atom
Symmetry: I-42d
Density of states at the Fermi level: 5.13 states/eV/cell

=====

[3]
Density functional theory data (PBE) for an optimized crystal structure of Sr2BeTc.

extended XYZ file:
```
4
Lattice="-1.8669 2.4914 5.5387 1.8669 -2.4914 5.5387 1.8669 2.4914 -5.5387" Properties=species:S:1:pos:R:3 pbc="T T T"
Sr 0.0000 0.0000 0.0000
Sr 0.0000 2.4914 2.4088
Be 0.0000 0.0000 4.6857
Tc 1.8669 0.0000 3.4471
```

Calculated values
Formation energy: 0.5178 eV per atom
Symmetry: Imm2
Density of states at the Fermi level: 3.67 states/eV/cell

=====

[4]
Density functional theory data (PBE) for an optimized crystal structure of Sr2BeTc.

extended XYZ file:
```
4
Lattice="-2.3200 2.3200 4.3658 2.3200 -2.3200 4.3658 2.3200 2.3200 -4.3658" Properties=species:S:1:pos:R:3 pbc="T T T"
Sr 0.0000 0.0000 0.0000
Sr 0.0000 2.3200 2.1829
Be 0.0000 0.0000 4.3658
Tc 2.3200 0.0000 2.1829
```

Calculated values
Formation energy: 0.9699 eV per atom
Symmetry: I-4m2
Density of states at the Fermi level: 4.03 states/eV/cell

=====

[5]
Density functional theory data (PBE) for an optimized crystal structure of Sr2BeTc.

extended XYZ file:
```
4
Lattice="3.5894 -1.9949 0.0000 3.5894 1.9949 0.0000 -2.2611 0.0000 8.2005" Properties=species:S:1:pos:R:3 pbc="T T T"
Sr 0.0000 0.0000 0.0000
Sr -0.0012 0.0000 4.2112
Be 4.7264 0.0000 2.1115
Tc 2.3871 0.0000 2.1027
```

Calculated values
Formation energy: 0.3632 eV per atom
Symmetry: Cm
Density of states at the Fermi level: 5.92 states/eV/cell

=====

[6]
Density functional theory data (PBE) for an optimized crystal structure of Sr2BeTc.

extended XYZ file:
```
4
Lattice="1.8087 1.0443 9.5674 -1.8087 1.0443 9.5674 0.0000 -2.0885 9.5674" Properties=species:S:1:pos:R:3 pbc="T T T"
Sr 0.0000 0.0000 7.1591
Sr 0.0000 0.0000 21.5432
Be 0.0000 0.0000 0.0000
Tc 0.0000 0.0000 14.3511
```

Calculated values
Formation energy: 1.1649 eV per atom
Symmetry: R-3m
Density of states at the Fermi level: 4.40 states/eV/cell

=====

[7]
Density functional theory data (PBE) for an optimized crystal structure of Sr3BeTc.

extended XYZ file:
```
5
Lattice="5.6563 0.0000 0.0000 0.0000 5.6563 0.0000 0.0000 0.0000 5.6563" Properties=species:S:1:pos:R:3 pbc="T T T"
Sr 0.0000 0.0000 2.8281
Sr 0.0000 2.8281 0.0000
Sr 2.8281 0.0000 0.0000
Be 2.8281 2.8281 2.8281
Tc 0.0000 0.0000 0.0000
```

Calculated values
Formation energy: 0.9745 eV per atom
Symmetry: Pm-3m
Density of states at the Fermi level: 2.89 states/eV/cell
Energy above the lowest structure with this stoichiometry: 0 meV per atom

=====

[8]
Density functional theory data (PBE) for an optimized crystal structure of Sr2BeTc.

extended XYZ file:
```
4
Lattice="4.6189 -1.6804 0.0000 4.6189 1.6804 0.0000 -1.0637 0.0000 7.1179" Properties=species:S:1:pos:R:3 pbc="T T T"
Sr 2.0344 0.0000 1.7374
Sr 6.1396 0.0000 5.3805
Be -0.5319 0.0000 3.5589
Tc 4.6189 0.0000 0.0000
```

Calculated values
Formation energy: 1.1785 eV per atom
Symmetry: C2/m
Density of states at the Fermi level: 4.59 states/eV/cell

=====

[9]
Density functional theory data (PBE) for an optimized crystal structure of SrBe3Tc.

extended XYZ file:
```
5
Lattice="4.5016 0.0000 0.0000 0.0000 4.5016 0.0000 0.0000 0.0000 4.5016" Properties=species:S:1:pos:R:3 pbc="T T T"
Sr 0.0000 0.0000 0.0000
Be 0.0000 0.0000 2.2508
Be 0.0000 2.2508 0.0000
Be 2.2508 0.0000 0.0000
Tc 2.2508 2.2508 2.2508
```

Calculated values
Formation energy: 2.7975 eV per atom
Symmetry: Pm-3m
Density of states at the Fermi level: 11.94 states/eV/cell
Energy above the lowest structure with this stoichiometry: 2446 meV per atom

=====

[10]
Density functional theory data (PBE) for an optimized crystal structure of SrBeTc.

extended XYZ file:
```
3
Lattice="0.0000 3.1804 3.1804 3.1804 0.0000 3.1804 3.1804 3.1804 0.0000" Properties=species:S:1:pos:R:3 pbc="T T T"
Sr 0.0000 0.0000 0.0000
Be 1.5902 1.5902 1.5902
Tc 3.1804 3.1804 3.1804
```

Calculated values
Formation energy: 1.1289 eV per atom
Symmetry: F-43m
Density of states at the Fermi level: 3.44 states/eV/cell
Energy above the lowest structure with this stoichiometry: 693 meV per atom

=====

[11]
Density functional theory data (PBE) for an optimized crystal structure of Sr2BeTc.

extended XYZ file:
```
4
Lattice="4.0952 0.0000 0.0000 0.0000 2.3117 5.7662 0.0000 -2.3117 5.7662" Properties=species:S:1:pos:R:3 pbc="T T T"
Sr 0.0000 0.0000 0.0000
Sr 2.0476 0.0000 3.2315
Be 2.0476 0.0000 6.9105
Tc 0.0000 0.0000 7.8637
```

Calculated values
Formation energy: 0.4661 eV per atom
Symmetry: Amm2
Density of states at the Fermi level: 4.41 states/eV/cell

=====

[12]
Density functional theory data (PBE) for an optimized crystal structure of Sr2BeTc.

extended XYZ file:
```
4
Lattice="3.8319 -3.8526 0.0000 3.8319 3.8526 0.0000 0.0000 0.0000 3.5276" Properties=species:S:1:pos:R:3 pbc="T T T"
Sr 1.9160 1.9263 0.0000
Sr 1.9160 -1.9263 0.0000
Be 0.0000 0.0000 1.7638
Tc 3.8319 0.0000 1.7638
```

Calculated values
Formation energy: 0.9363 eV per atom
Symmetry: Cmmm
Density of states at the Fermi level: 5.27 states/eV/cell

=====

[13]
Density functional theory data (PBE) for an optimized crystal structure of SrBeTc.

extended XYZ file:
```
3
Lattice="-1.6303 1.6303 5.4213 1.6303 -1.6303 5.4213 1.6303 1.6303 -5.4213" Properties=species:S:1:pos:R:3 pbc="T T T"
Sr 0.0000 0.0000 0.0000
Be 0.0000 0.0000 7.9583
Tc 0.0000 0.0000 3.0204
```

Calculated values
Formation energy: 0.4357 eV per atom
Symmetry: I4mm
Density of states at the Fermi level: 3.83 states/eV/cell
Energy above the lowest structure with this stoichiometry: 0 meV per atom

=====

[14]
Density functional theory data (PBE) for an optimized crystal structure of SrBe3Tc.

extended XYZ file:
```
5
Lattice="4.4401 0.0000 0.0000 0.0000 4.4401 0.0000 0.0000 0.0000 4.4401" Properties=species:S:1:pos:R:3 pbc="T T T"
Sr 0.0000 0.0000 0.0000
Be 0.0000 2.2200 2.2200
Be 2.2200 0.0000 2.2200
Be 2.2200 2.2200 0.0000
Tc 2.2200 2.2200 2.2200
```

Calculated values
Formation energy: 0.3519 eV per atom
Symmetry: Pm-3m
Density of states at the Fermi level: 2.27 states/eV/cell
Energy above the lowest structure with this stoichiometry: 0 meV per atom

=====

[15]
Density functional theory data (PBE) for an optimized crystal structure of SrBeTc.

extended XYZ file:
```
3
Lattice="3.9237 0.0000 0.0000 -1.9619 3.3981 0.0000 0.0000 0.0000 4.8512" Properties=species:S:1:pos:R:3 pbc="T T T"
Sr 0.0000 0.0000 0.0000
Be 0.0000 2.2654 2.6136
Tc 1.9619 1.1327 2.3508
```

Calculated values
Formation energy: 0.6524 eV per atom
Symmetry: P3m1
Density of states at the Fermi level: 2.23 states/eV/cell
Energy above the lowest structure with this stoichiometry: 217 meV per atom